# 1
Entry from Alexandria: a relaxed ScSi2P crystal (PBE).

Output
SG = No. 65
M_tot = 0.003 μB per cell
E_form (uncorrected) = 0.1349 eV per atom
uncorrected energy = -5.512 eV per atom

Cell: 2.940 2.940 7.635 Å, 90.00 90.00 103.24°
Element x y z (fractional)
Sc (0.000, 0.000, 0.000)
Si (0.500, 0.500, 0.270)
Si (0.500, 0.500, 0.730)
P (0.000, 0.000, 0.500)

***

# 2
Entry from Alexandria: a relaxed ScSi3P crystal (PBE).

Output
SG = No. 221
M_tot = 0.000 μB per cell
E_form (uncorrected) = 0.4874 eV per atom
uncorrected energy = -5.115 eV per atom

Cell: 4.563 4.563 4.563 Å, 90.00 90.00 90.00°
Element x y z (fractional)
Sc (0.000, 0.000, 0.000)
Si (0.000, 0.500, 0.500)
Si (0.500, 0.000, 0.500)
Si (0.500, 0.500, 0.000)
P (0.500, 0.500, 0.500)

***

# 3
Entry from Alexandria: a relaxed ScSi3P crystal (PBE).

Output
SG = No. 221
M_tot = 0.000 μB per cell
E_form (uncorrected) = 1.3048 eV per atom
uncorrected energy = -4.297 eV per atom

Cell: 4.990 4.990 4.990 Å, 90.00 90.00 90.00°
Element x y z (fractional)
Sc (0.000, 0.000, 0.000)
Si (0.000, 0.000, 0.500)
Si (0.000, 0.500, 0.000)
Si (0.500, 0.000, 0.000)
P (0.500, 0.500, 0.500)

***

# 4
Entry from Alexandria: a relaxed ScSi2P crystal (PBE).

Output
SG = No. 216
M_tot = 0.000 μB per cell
E_form (uncorrected) = 0.0777 eV per atom
uncorrected energy = -5.569 eV per atom

Cell: 4.562 4.562 4.562 Å, 60.00 60.00 60.00°
Element x y z (fractional)
Sc (0.000, 0.000, 0.000)
Si (0.250, 0.250, 0.250)
Si (0.500, 0.500, 0.500)
P (0.750, 0.750, 0.750)

***

# 5
Entry from Alexandria: a relaxed ScSi2P crystal (PBE).

Output
SG = No. 123
M_tot = 0.000 μB per cell
E_form (uncorrected) = -0.2517 eV per atom
uncorrected energy = -5.899 eV per atom

Cell: 3.632 3.632 5.001 Å, 90.00 90.00 90.00°
Element x y z (fractional)
Sc (0.000, 0.000, 0.000)
Si (0.000, 0.500, 0.500)
Si (0.500, 0.000, 0.500)
P (0.500, 0.500, 0.000)

***

# 6
Entry from Alexandria: a relaxed ScSi2P crystal (PBE).

Output
SG = No. 35
M_tot = 0.000 μB per cell
E_form (uncorrected) = -0.0112 eV per atom
uncorrected energy = -5.658 eV per atom

Cell: 3.027 3.027 7.338 Å, 90.00 90.00 103.60°
Element x y z (fractional)
Sc (0.000, 0.000, 0.000)
Si (0.000, 0.000, 0.520)
Si (0.500, 0.500, 0.277)
P (0.500, 0.500, 0.758)

***

# 7
Entry from Alexandria: a relaxed ScSi2P crystal (PBE).

Output
SG = No. 123
M_tot = 0.000 μB per cell
E_form (uncorrected) = -0.1776 eV per atom
uncorrected energy = -5.825 eV per atom

Cell: 3.413 3.413 5.471 Å, 90.00 90.00 90.00°
Element x y z (fractional)
Sc (0.000, 0.000, 0.000)
Si (0.500, 0.500, 0.280)
Si (0.500, 0.500, 0.720)
P (0.000, 0.000, 0.500)

***

# 8
Entry from Alexandria: a relaxed Sc4SiTe2P crystal (PBE).

Output
SG = No. 10
M_tot = 0.000 μB per cell
E_form (uncorrected) = -1.1761 eV per atom
uncorrected energy = -6.481 eV per atom

Cell: 6.839 3.940 7.043 Å, 90.00 108.79 90.00°
Element x y z (fractional)
Sc (0.235, 0.000, 0.209)
Sc (0.261, 0.500, 0.786)
Sc (0.739, 0.500, 0.214)
Sc (0.765, 0.000, 0.791)
Si (0.500, 0.000, 0.000)
Te (0.000, 0.000, 0.500)
Te (0.500, 0.500, 0.500)
P (0.000, 0.500, 0.000)